Compound: TlIn2SnF
Source: the Alexandria database
Functional: PBE
Structure: relaxed

The value obtained for the polymorph energy (0 for the lowest one) is 169.0 meV per atom. The energy relative to the elements, uncorrected comes out at -0.008 eV/atom. Its total energy is -13.756 eV/cell. The symmetry is P4/mmm, No. 123.

a b c (Å): 5.770 6.388 5.770
angles (deg): 90.00 90.00 90.00
Sites, in units of the cell vectors:
Tl 0.000 0.500 0.000
F 0.500 0.500 0.500
In 0.500 0.000 0.000
In 0.000 0.000 0.500
Sn 0.000 0.000 0.000